First-principles (GGA-PBE) data for an optimized crystal structure of Y2CuH6Pt, as listed in OQMD via LeMat-Bulk.

a b c (Å): 5.165 5.165 5.165
angles (deg): 60.00 60.00 60.00
Site moments in Bohr magnetons follow the coordinates.
Positions (direct):
Y1 0.750 0.750 0.750  0.10
Y2 0.250 0.250 0.250  0.10
H1 0.747 0.747 0.253  0.00
H2 0.747 0.253 0.253  0.00
H3 0.253 0.747 0.253  0.00
H4 0.253 0.253 0.747  0.00
H5 0.253 0.747 0.747  0.00
H6 0.747 0.253 0.747  0.00
Cu1 0.500 0.500 0.500  0.01
Pt1 0.000 0.000 0.000  0.00

Properties
The value obtained for the total energy is -4.6152 eV/atom. The magnetic moment is 0.04 μB/atom. The crystal system is cubic. The calculated volume comes out at 9.74 Å³/atom.